# 1
VASP calculation (GGA-PBE) on a geometry-optimized SrYOF2 structure.

E_form (uncorrected)   -11.653 eV per formula unit
Polymorph energy (0 for the lowest one)   687 meV/atom
Spin magnetization   0.8 μB per cell
DFT total energy   -5.70 eV per atom

Unit cell a=4.4973 b=4.4973 c=4.8575 alpha=90.00 beta=90.00 gamma=90.00
Space group P4/mmm (No. 123)
One atom of each set of equivalent atoms:
Sr: 0.0000 0.0000 0.0000
Y: 0.5000 0.5000 0.5000
O: 0.0000 0.0000 0.5000
F: 0.0000 0.5000 0.0000



# 2
VASP calculation (GGA-PBE) on a geometry-optimized SrZnOF2 structure.

E_form (uncorrected)   -8.242 eV per formula unit
Polymorph energy (0 for the lowest one)   935 meV/atom
Spin magnetization   0.4 μB per cell
DFT total energy   -3.98 eV per atom

Unit cell a=4.5775 b=4.5775 c=4.8714 alpha=90.00 beta=90.00 gamma=90.00
Space group P4/mmm (No. 123)
One atom of each set of equivalent atoms:
Sr: 0.0000 0.0000 0.0000
Zn: 0.5000 0.5000 0.5000
O: 0.0000 0.0000 0.5000
F: 0.0000 0.5000 0.0000